{
  "formula": "Li3Pm2Cu12Ge",
  "functional": "PBE",
  "state": "optimized geometry",
  "formation_enthalpy_0k_mev_per_atom": 215.6,
  "final_energy_ha_per_atom": -0.133,
  "lattice": [[4.227, 2.441, 5.451], [-4.227, 2.441, 5.451], [0.000, -4.881, 5.451]],
  "species": ["Li", "Li", "Li", "Pm", "Pm", "Cu", "Cu", "Cu", "Cu", "Cu", "Cu", "Cu", "Cu", "Cu", "Cu", "Cu", "Cu", "Ge"],
  "fractional_positions": [[0.000, 0.500, 0.500], [0.500, 0.000, 0.500], [0.500, 0.500, 0.000], [0.098, 0.098, 0.098], [0.902, 0.902, 0.902], [0.108, 0.108, 0.487], [0.108, 0.487, 0.108], [0.167, 0.658, 0.658], [0.342, 0.342, 0.833], [0.342, 0.833, 0.342], [0.487, 0.108, 0.108], [0.513, 0.892, 0.892], [0.658, 0.167, 0.658], [0.658, 0.658, 0.167], [0.833, 0.342, 0.342], [0.892, 0.513, 0.892], [0.892, 0.892, 0.513], [0.500, 0.500, 0.500]]
}